BaSrBeH6 GGA-PBE optimized geometry; magnetization = 0.000 μB per cell; SG = P312; total DFT energy (no corrections) = -29.19 eV for the cell shown
1.0
5.4333 0.0005 0.0001
2.7171 4.7048 0.0000
0.0002 -0.0003 5.3324
Ba Sr Be H
1 1 1 6
Cartesian
8.1500 4.7045 5.3318
5.4334 3.1366 2.6656
2.7169 1.5684 2.6663
1.3827 1.5685 1.6343
2.0506 0.4124 3.6982
4.0509 1.5700 3.6984
2.0487 2.7231 3.6973
3.3845 2.7233 1.6346
3.3838 0.4129 1.6354